<A>
AcPm2Se: optimized geometry, PBE-GGA.

The calculation puts the density of states at the Fermi level at 15.22 states/eV per cell.

The space group is R-3m (No. 166, hexagonal axes) and the conventional cell measures 3.9640, 3.9640 and 29.7649 Å, with angles of 90.00, 90.00 and 120.00 degrees. The inequivalent atoms are Ac at (0.0000, 0.0000, 0.0000), Pm at (0.0000, 0.0000, 0.2292) and Se at (0.0000, 0.0000, 0.5000).



<B>
AcPm2Se: optimized geometry, PBE-GGA.

The calculation puts the density of states at the Fermi level at 13.85 states/eV per cell.

The space group is R3m (No. 160, hexagonal axes) and the conventional cell measures 3.9921, 3.9921 and 29.6125 Å, with angles of 90.00, 90.00 and 120.00 degrees. The inequivalent atoms are Ac at (0.0000, 0.0000, 0.0000), Pm at (0.0000, 0.0000, 0.2280), Pm at (0.0000, 0.0000, 0.4386) and Se at (0.0000, 0.0000, 0.8331).



Which structure wins on stability? <A> wins.



<A>
Ac2PmSe4: optimized geometry, PBE-GGA.

The calculation puts the density of states at the Fermi level at 8.63 states/eV per cell.

The space group is Cmcm (No. 63) and the conventional cell measures 4.1985, 14.7929 and 14.5144 Å, with angles of 90.00, 90.00 and 90.00 degrees. The inequivalent atoms are Ac at (0.0000, 0.1310, 0.0752), Pm at (0.0000, 0.3717, 0.2500), Se at (0.0000, 0.0148, 0.2500), Se at (0.0000, 0.2182, 0.6264) and Se at (0.0000, 0.5000, 0.0000).



<B>
Ac2PmSe4: optimized geometry, PBE-GGA.

The calculation puts the density of states at the Fermi level at 1.68 states/eV per cell.

The space group is C2/m (No. 12) and the conventional cell measures 14.3501, 4.1565 and 8.8253 Å, with angles of 90.00, 122.52 and 90.00 degrees. The inequivalent atoms are Ac at (0.1450, 0.0000, 0.2044), Pm at (0.0000, 0.5000, 0.5000), Se at (0.0560, 0.5000, 0.8715) and Se at (0.1670, 0.0000, 0.5828).



Which structure wins on stability? <B> wins.



<A>
Ac4PmSe5: optimized geometry, PBE-GGA.

The calculation puts the density of states at the Fermi level at 16.14 states/eV per cell.

The space group is R-3m (No. 166, hexagonal axes) and the conventional cell measures 4.4165, 4.4165 and 53.9454 Å, with angles of 90.00, 90.00 and 120.00 degrees. The inequivalent atoms are Ac at (0.0000, 0.0000, 0.1028), Ac at (0.0000, 0.0000, 0.2991), Pm at (0.0000, 0.0000, 0.5000), Se at (0.0000, 0.0000, 0.0000), Se at (0.0000, 0.0000, 0.1963) and Se at (0.0000, 0.0000, 0.4019).



<B>
Ac4PmSe5: optimized geometry, PBE-GGA.

The calculation puts the density of states at the Fermi level at 12.71 states/eV per cell.

The space group is Immm (No. 71) and the conventional cell measures 4.4097, 6.2557 and 22.0758 Å, with angles of 90.00, 90.00 and 90.00 degrees. The inequivalent atoms are Ac at (0.0000, 0.0000, 0.0993), Ac at (0.0000, 0.0000, 0.3030), Pm at (0.0000, 0.0000, 0.5000), Se at (0.0000, 0.5000, 0.0938), Se at (0.0000, 0.5000, 0.2990) and Se at (0.0000, 0.5000, 0.5000).



Which structure wins on stability? <A> wins.